No. 1
{"formula": "YPd3Cl", "functional": "PBE", "state": "relaxed", "dos_at_fermi_per_ev_cell": 2.80, "lattice_angstrom": [[4.677, 0.000, 0.000], [0.000, 4.677, 0.000], [0.000, 0.000, 4.677]], "species": ["Y", "Pd", "Pd", "Pd", "Cl"], "fractional_positions": [[0.000, 0.000, 0.000], [0.000, 0.500, 0.500], [0.500, 0.000, 0.500], [0.500, 0.500, 0.000], [0.500, 0.500, 0.500]]}

---

No. 2
{"formula": "Y2PdCl2", "functional": "PBE", "state": "relaxed", "dos_at_fermi_per_ev_cell": 2.29, "lattice_angstrom": [[5.371, 0.000, 0.000], [0.000, 5.371, 0.000], [0.000, 0.000, 5.163]], "species": ["Y", "Y", "Pd", "Cl", "Cl"], "fractional_positions": [[0.000, 0.500, 0.000], [0.500, 0.000, 0.000], [0.000, 0.000, 0.000], [0.000, 0.000, 0.500], [0.500, 0.500, 0.500]]}

---

No. 3
{"formula": "YPdCl2", "functional": "PBE", "state": "relaxed", "dos_at_fermi_per_ev_cell": 6.18, "lattice_angstrom": [[-2.268, 2.268, 8.690], [2.268, -2.268, 8.690], [2.268, 2.268, -8.690]], "species": ["Y", "Y", "Pd", "Pd", "Cl", "Cl", "Cl", "Cl"], "fractional_positions": [[0.000, 0.000, 0.000], [0.750, 0.250, 0.500], [0.250, 0.750, 0.500], [0.500, 0.500, 0.000], [0.128, 0.625, 0.003], [0.375, 0.378, 0.503], [0.622, 0.125, 0.997], [0.875, 0.872, 0.497]]}

---

| no. | total DFT energy (no corrections) (eV per atom) | ΔE_f (raw) (eV per atom) | V (A^3/atom) |
| --- | --- | --- | --- |
| 1 | -4.82 | -0.044 | 20.46 |
| 2 | -4.87 | -0.506 | 29.79 |
| 3 | -4.84 | -1.007 | 22.36 |